Material: Li2V3CoO8
Method: DFT, PBE+U
State: relaxed

abc: 8.305 8.305 8.305
angles: 90.00 90.00 90.00
Site moments in Bohr magnetons follow the coordinates.
Atoms (fractional coordinates):
O 0.636 0.633 0.861  -0.04
O 0.117 0.886 0.611  -0.04
O 0.138 0.362 0.638  -0.04
Li 0.999 0.501 0.499  0.01
O 0.888 0.112 0.612  -0.04
O 0.861 0.636 0.633  -0.04
O 0.139 0.136 0.867  -0.04
O 0.864 0.367 0.361  -0.04
O 0.867 0.139 0.136  -0.04
O 0.361 0.864 0.367  -0.04
O 0.133 0.639 0.364  -0.04
O 0.612 0.888 0.112  -0.04
Li 0.749 0.251 0.751  0.01
V 0.630 0.380 0.375  1.31
Li 0.499 0.999 0.501  0.01
V 0.620 0.875 0.870  1.31
O 0.883 0.386 0.889  -0.04
O 0.364 0.133 0.639  -0.04
O 0.889 0.883 0.386  -0.04
V 0.120 0.625 0.130  1.31
O 0.638 0.138 0.362  -0.04
O 0.633 0.861 0.636  -0.04
O 0.639 0.364 0.133  -0.04
V 0.125 0.370 0.880  1.31
O 0.611 0.117 0.886  -0.04
O 0.614 0.389 0.617  -0.04
O 0.862 0.862 0.862  -0.04
O 0.617 0.614 0.389  -0.04
V 0.870 0.620 0.875  1.31
O 0.389 0.617 0.614  -0.04
O 0.383 0.114 0.111  -0.04
V 0.375 0.630 0.380  1.31
V 0.380 0.375 0.630  1.31
Li 0.501 0.499 0.999  0.01
V 0.875 0.870 0.620  1.31
O 0.114 0.111 0.383  -0.04
Li 0.251 0.751 0.749  0.01
V 0.625 0.130 0.120  1.31
O 0.111 0.383 0.114  -0.04
O 0.886 0.611 0.117  -0.04
Li 0.001 0.001 0.001  0.01
V 0.130 0.120 0.625  1.31
V 0.880 0.125 0.370  1.31
Li 0.249 0.249 0.249  0.01
V 0.370 0.880 0.125  1.31
O 0.388 0.388 0.388  -0.04
O 0.362 0.638 0.138  -0.04
Co 0.125 0.875 0.375  0.26
O 0.112 0.612 0.888  -0.04
Co 0.875 0.375 0.125  0.26
Co 0.375 0.125 0.875  0.26
O 0.136 0.867 0.139  -0.04
O 0.367 0.361 0.864  -0.04
Co 0.625 0.625 0.625  0.26
Li 0.751 0.749 0.251  0.01
O 0.386 0.889 0.883  -0.04

DFT total energy in eV/atom: -6.929
Polymorph energy (0 for the lowest one) in meV per atom: 73